(1)
## RbSbTe3 (PBE)

Data for crystalline RbSbTe3 at its relaxed geometry.

a b c (Å): 5.886 5.886 5.886
angles (deg): 90.00 90.00 90.00
Space group Pm-3m (No. 221)
Inequivalent atoms, fractional coordinates:
Rb: 0.000 0.000 0.000
Sb: 0.500 0.500 0.500
Te: 0.000 0.500 0.500

## Properties
- formation energy (no corrections) (eV per atom) = -0.150
- Fermi-level density of states (states/eV/cell) = 6.1
- M_tot (μB/atom) = 0.00
- crystal system = cubic
- polymorph energy (0 for the lowest one) (meV per atom) = 230



(2)
## Ac2GeF (PBE)

Data for crystalline Ac2GeF at its relaxed geometry.

a b c (Å): 4.4563 4.4563 19.5179
angles (deg): 90.00 90.00 120.00
Space group R-3m (No. 166, hexagonal axes)
Inequivalent atoms, fractional coordinates:
Ac: 0.0000 0.0000 0.2449
Ge: 0.0000 0.0000 0.0000
F: 0.0000 0.0000 0.5000

## Properties
- formation energy (no corrections) (eV per atom) = -1.608
- Fermi-level density of states (states/eV/cell) = 5.9
- M_tot (μB/atom) = 0.00
- crystal system = trigonal
- polymorph energy (0 for the lowest one) (meV per atom) = 0